# Ce2AlSe2O2 PBE relaxed
data_Ce2AlSe2O2
_chemical_formula_sum 'Ce4 Al2 Se4 O4'
_symmetry_space_group_name_H-M 'C 1 2/m 1'
_symmetry_Int_Tables_number 12
_cell_length_a 11.2429
_cell_length_b 3.8421
_cell_length_c 7.0531
_cell_angle_alpha 90.00
_cell_angle_beta 120.59
_cell_angle_gamma 90.00
loop_
_symmetry_equiv_pos_as_xyz
'x,y,z'
'-x,-y,-z'
'-x,y,-z'
'x,-y,z'
'x+1/2,y+1/2,z'
'-x+1/2,-y+1/2,-z'
'-x+1/2,y+1/2,-z'
'x+1/2,-y+1/2,z'
loop_
_atom_site_label
_atom_site_type_symbol
_atom_site_fract_x
_atom_site_fract_y
_atom_site_fract_z
Ce1 Ce 0.1836 0.0000 0.2295
Al1 Al 0.0000 0.0000 0.5000
Se1 Se 0.0536 0.5000 0.8057
O1 O 0.1796 0.0000 0.5725
# - ΔE_f (raw): -2.26 eV/atom



# TaTeH PBE relaxed
data_TaTeH
_chemical_formula_sum 'Ta2 Te2 H2'
_symmetry_space_group_name_H-M 'P 1 21/m 1'
_symmetry_Int_Tables_number 11
_cell_length_a 4.5740
_cell_length_b 3.6099
_cell_length_c 6.9883
_cell_angle_alpha 90.00
_cell_angle_beta 93.43
_cell_angle_gamma 90.00
loop_
_symmetry_equiv_pos_as_xyz
'x,y,z'
'-x,-y,-z'
'-x,y+1/2,-z'
'x,-y+1/2,z'
loop_
_atom_site_label
_atom_site_type_symbol
_atom_site_fract_x
_atom_site_fract_y
_atom_site_fract_z
Ta1 Ta 0.2423 0.2500 0.0191
Te1 Te 0.2775 0.7500 0.7082
H1 H 0.1415 0.7500 0.1253
# - Final energy: -6.360 eV per atom



# TcCl2 PBE relaxed
data_TcCl2
_chemical_formula_sum 'Tc4 Cl8'
_symmetry_space_group_name_H-M 'I 4/m c m'
_symmetry_Int_Tables_number 140
_symmetry_space_group_name_Hall '-I 4 2c'
_cell_length_a 6.1341
_cell_length_b 6.1341
_cell_length_c 5.7326
_cell_angle_alpha 90.00
_cell_angle_beta 90.00
_cell_angle_gamma 90.00
loop_
_atom_site_label
_atom_site_type_symbol
_atom_site_fract_x
_atom_site_fract_y
_atom_site_fract_z
Tc1 Tc 0.0000 0.0000 0.2500
Cl1 Cl 0.1968 0.3032 0.0000
# - ΔE_f (raw): 0.25 eV/atom



# AgMo3P3 PBE relaxed
data_AgMo3P3
_chemical_formula_sum 'Ag2 Mo6 P6'
_symmetry_space_group_name_H-M 'P 63/m'
_symmetry_Int_Tables_number 176
_symmetry_space_group_name_Hall '-P 6c'
_cell_length_a 7.3326
_cell_length_b 7.3326
_cell_length_c 4.6746
_cell_angle_alpha 90.00
_cell_angle_beta 90.00
_cell_angle_gamma 120.00
loop_
_atom_site_label
_atom_site_type_symbol
_atom_site_fract_x
_atom_site_fract_y
_atom_site_fract_z
Ag1 Ag 0.3333 0.6667 0.2500
Mo1 Mo 0.0043 0.7598 0.7500
P1 P 0.0237 0.4032 0.7500
# - Formation enthalpy at 0 K: -1.9 kcal/mol of atoms



# Be2CuMo PBE relaxed
data_Be2CuMo
_chemical_formula_sum 'Be2 Cu1 Mo1'
_symmetry_space_group_name_H-M 'P 4/m m m'
_symmetry_Int_Tables_number 123
_symmetry_space_group_name_Hall '-P 4 2'
_cell_length_a 3.6892
_cell_length_b 3.6892
_cell_length_c 3.2888
_cell_angle_alpha 90.00
_cell_angle_beta 90.00
_cell_angle_gamma 90.00
loop_
_atom_site_label
_atom_site_type_symbol
_atom_site_fract_x
_atom_site_fract_y
_atom_site_fract_z
Be1 Be 0.0000 0.5000 0.0000
Cu1 Cu 0.0000 0.0000 0.5000
Mo1 Mo 0.5000 0.5000 0.5000
# - Formation enthalpy at 0 K: 0.1 kcal/mol of atoms



# PuMnFeIr PBE relaxed
data_PuMnFeIr
_chemical_formula_sum 'Pu4 Mn4 Fe4 Ir4'
_symmetry_space_group_name_H-M 'F -4 3 m'
_symmetry_Int_Tables_number 216
_symmetry_space_group_name_Hall 'F -4 2 3'
_cell_length_a 6.4306
_cell_length_b 6.4306
_cell_length_c 6.4306
_cell_angle_alpha 90.00
_cell_angle_beta 90.00
_cell_angle_gamma 90.00
loop_
_atom_site_label
_atom_site_type_symbol
_atom_site_fract_x
_atom_site_fract_y
_atom_site_fract_z
Pu1 Pu 0.0000 0.0000 0.0000
Mn1 Mn 0.0000 0.0000 0.5000
Fe1 Fe 0.2500 0.2500 0.7500
Ir1 Ir 0.2500 0.2500 0.2500
# - Formation enthalpy at 0 K: -0.1 kcal/mol of atoms